The following is a DFT calculation (PBE+U) of a relaxed Na2HfMnF8 crystal.

Structure (POSCAR):
```
Na2HfMnF8
1.0
5.113 0.000 0.000
0.000 6.872 0.000
-0.263 0.000 5.122
Na Hf Mn F
2 1 1 8
direct
0.000 0.239 0.000
0.000 0.761 0.000
0.500 0.500 0.500
0.500 0.000 0.500
0.216 0.500 0.217
0.219 0.000 0.220
0.319 0.280 0.681
0.319 0.720 0.681
0.681 0.280 0.319
0.681 0.720 0.319
0.781 0.000 0.780
0.784 0.500 0.783
```

Output
The calculation puts the total energy at -0.22489 hartree per atom. The calculation puts the total magnetization at 5.00 Bohr magnetons per cell. As for the space-group type: P2/m, No. 10.